A relaxed Fe3TeC crystal. Source: Alexandria, functional PBE.

space-group type = Pm-3m (221)
formation energy (no corrections) = 26.7 kJ/mol of atoms

a = 3.951 Å, b = 3.951 Å, c = 3.951 Å
α = 90.00°, β = 90.00°, γ = 90.00°
Fractional positions:
Fe  0.000  0.000  0.500
Fe  0.000  0.500  0.000
Fe  0.500  0.000  0.000
Te  0.500  0.500  0.500
C  0.000  0.000  0.000

A relaxed CsLiErS2 crystal. Source: Alexandria, functional PBE.

space-group type = Cmme (67)
formation energy (no corrections) = -121.5 kJ/mol of atoms

a = 8.286 Å, b = 8.286 Å, c = 6.109 Å
α = 90.00°, β = 90.00°, γ = 128.95°
Fractional positions:
Cs  0.250  0.750  0.778
Cs  0.750  0.250  0.222
Li  0.000  0.000  0.000
Li  0.500  0.500  0.000
Er  0.250  0.250  0.500
Er  0.750  0.750  0.500
S  0.099  0.901  0.297
S  0.401  0.599  0.297
S  0.599  0.401  0.703
S  0.901  0.099  0.703

A relaxed Si3GeMo crystal. Source: Alexandria, functional PBE.

space-group type = Pm-3m (221)
formation energy (no corrections) = 142.0 kJ/mol of atoms

a = 4.682 Å, b = 4.682 Å, c = 4.682 Å
α = 90.00°, β = 90.00°, γ = 90.00°
Fractional positions:
Si  0.000  0.000  0.500
Si  0.000  0.500  0.000
Si  0.500  0.000  0.000
Ge  0.000  0.000  0.000
Mo  0.500  0.500  0.500

A relaxed SmScTe crystal. Source: Alexandria, functional PBE.

space-group type = I4mm (107)
formation energy (no corrections) = -72.4 kJ/mol of atoms

a = 3.813 Å, b = 3.813 Å, c = 11.148 Å
α = 90.00°, β = 90.00°, γ = 90.00°
Fractional positions:
Sm  0.000  0.000  0.000
Sm  0.500  0.500  0.500
Sc  0.000  0.000  0.315
Sc  0.500  0.500  0.815
Te  0.000  0.000  0.688
Te  0.500  0.500  0.188

A relaxed AlReNO2 crystal. Source: Alexandria, functional PBE.

space-group type = P4/mmm (123)
formation energy (no corrections) = -24.3 kJ/mol of atoms

a = 3.545 Å, b = 3.545 Å, c = 3.949 Å
α = 90.00°, β = 90.00°, γ = 90.00°
Fractional positions:
Al  0.000  0.000  0.000
Re  0.500  0.500  0.500
N  0.000  0.000  0.500
O  0.000  0.500  0.000
O  0.500  0.000  0.000

A relaxed SrMnPb2 crystal. Source: Alexandria, functional PBE.

space-group type = P4/mmm (123)

a = 4.948 Å, b = 4.948 Å, c = 4.673 Å
α = 90.00°, β = 90.00°, γ = 90.00°
Fractional positions:
Sr  0.000  0.000  0.000
Mn  0.500  0.500  0.000
Pb  0.000  0.500  0.500
Pb  0.500  0.000  0.500

A relaxed Zr2SnGeBi crystal. Source: Alexandria, functional PBE.

space-group type = P4/mmm (123)

a = 5.388 Å, b = 5.388 Å, c = 5.611 Å
α = 90.00°, β = 90.00°, γ = 90.00°
Fractional positions:
Zr  0.000  0.500  0.000
Zr  0.500  0.000  0.000
Sn  0.000  0.000  0.000
Ge  0.500  0.500  0.500
Bi  0.000  0.000  0.500

A relaxed NaTmGe4 crystal. Source: Alexandria, functional PBE.

space-group type = F-43m (216)

a = 5.593 Å, b = 5.593 Å, c = 5.593 Å
α = 60.00°, β = 60.00°, γ = 60.00°
Fractional positions:
Na  0.000  0.000  0.000
Tm  0.750  0.750  0.750
Ge  0.375  0.375  0.375
Ge  0.375  0.375  0.874
Ge  0.375  0.874  0.375
Ge  0.874  0.375  0.375

A relaxed Bi2Pd7Pt2 crystal. Source: Alexandria, functional PBE.

space-group type = Imm2 (44)

a = 7.439 Å, b = 7.439 Å, c = 7.439 Å
α = 148.14°, β = 75.96°, γ = 113.15°
Fractional positions:
Bi  0.157  0.000  0.157
Bi  0.843  0.000  0.843
Pd  0.089  0.751  0.338
Pd  0.260  0.260  0.000
Pd  0.330  0.499  0.830
Pd  0.413  0.751  0.662
Pd  0.589  0.249  0.340
Pd  0.669  0.499  0.170
Pd  0.909  0.249  0.660
Pt  0.499  0.999  0.500
Pt  0.735  0.735  0.000

A relaxed K3U3TiN8 crystal. Source: Alexandria, functional PBE.

space-group type = R-3m (166)
formation energy (no corrections) = -97.0 kJ/mol of atoms

a = 7.545 Å, b = 7.545 Å, c = 7.545 Å
α = 53.66°, β = 53.66°, γ = 53.66°
Fractional positions:
K  0.000  0.500  0.500
K  0.500  0.000  0.500
K  0.500  0.500  0.000
U  0.000  0.000  0.500
U  0.000  0.500  0.000
U  0.500  0.000  0.000
Ti  0.500  0.500  0.500
N  0.221  0.221  0.221
N  0.222  0.715  0.715
N  0.285  0.285  0.778
N  0.285  0.778  0.285
N  0.715  0.222  0.715
N  0.715  0.715  0.222
N  0.778  0.285  0.285
N  0.779  0.779  0.779

A relaxed Ac3Y3ScSe8 crystal. Source: Alexandria, functional PBE.

space-group type = R-3m (166)
formation energy (no corrections) = -176.7 kJ/mol of atoms

a = 8.612 Å, b = 8.612 Å, c = 8.612 Å
α = 57.90°, β = 57.90°, γ = 57.90°
Fractional positions:
Ac  0.000  0.500  0.500
Ac  0.500  0.000  0.500
Ac  0.500  0.500  0.000
Y  0.000  0.000  0.500
Y  0.000  0.500  0.000
Y  0.500  0.000  0.000
Sc  0.500  0.500  0.500
Se  0.241  0.241  0.241
Se  0.246  0.737  0.737
Se  0.263  0.263  0.754
Se  0.263  0.754  0.263
Se  0.737  0.246  0.737
Se  0.737  0.737  0.246
Se  0.754  0.263  0.263
Se  0.759  0.759  0.759

A relaxed KMoRuBr2 crystal. Source: Alexandria, functional PBE.

space-group type = P4/mmm (123)
formation energy (no corrections) = 109.0 kJ/mol of atoms

a = 5.089 Å, b = 5.089 Å, c = 6.299 Å
α = 90.00°, β = 90.00°, γ = 90.00°
Fractional positions:
K  0.000  0.000  0.000
Mo  0.500  0.500  0.000
Ru  0.000  0.000  0.500
Br  0.000  0.500  0.500
Br  0.500  0.000  0.500

A relaxed CaSm6In5 crystal. Source: Alexandria, functional PBE.

space-group type = Immm (71)

a = 9.544 Å, b = 9.544 Å, c = 9.544 Å
α = 146.71°, β = 132.45°, γ = 59.28°
Fractional positions:
Ca  0.000  0.000  0.000
Sm  0.082  0.826  0.257
Sm  0.268  0.500  0.768
Sm  0.431  0.174  0.257
Sm  0.569  0.826  0.743
Sm  0.732  0.500  0.232
Sm  0.918  0.174  0.743
In  0.151  0.651  0.500
In  0.333  0.333  0.000
In  0.500  0.000  0.500
In  0.667  0.667  0.000
In  0.849  0.349  0.500

A relaxed LiRe2HPt crystal. Source: Alexandria, functional PBE.

space-group type = P4/mmm (123)

a = 4.828 Å, b = 4.828 Å, c = 4.864 Å
α = 90.00°, β = 90.00°, γ = 90.00°
Fractional positions:
Li  0.000  0.000  0.000
Re  0.000  0.500  0.500
Re  0.500  0.000  0.500
H  0.500  0.500  0.000
Pt  0.000  0.000  0.500

A relaxed Be2TcOsF crystal. Source: Alexandria, functional PBE.

space-group type = P4/mmm (123)
formation energy (no corrections) = 30.4 kJ/mol of atoms

a = 3.698 Å, b = 3.698 Å, c = 4.265 Å
α = 90.00°, β = 90.00°, γ = 90.00°
Fractional positions:
Be  0.000  0.500  0.000
Be  0.500  0.000  0.000
Tc  0.000  0.000  0.500
Os  0.500  0.500  0.500
F  0.000  0.000  0.000

A relaxed CdP2 crystal. Source: Alexandria, functional PBE.

space-group type = Pnma (62)

a = 6.086 Å, b = 3.716 Å, c = 11.432 Å
α = 90.00°, β = 90.00°, γ = 90.00°
Fractional positions:
Cd  0.108  0.250  0.180
Cd  0.392  0.750  0.680
Cd  0.608  0.250  0.320
Cd  0.892  0.750  0.820
P  0.114  0.750  0.502
P  0.211  0.250  0.837
P  0.289  0.750  0.337
P  0.386  0.250  0.002
P  0.614  0.750  0.998
P  0.711  0.250  0.663
P  0.789  0.750  0.163
P  0.886  0.250  0.498

A relaxed Mg2CdW crystal. Source: Alexandria, functional PBE.

space-group type = P2/m (10)

a = 2.833 Å, b = 4.781 Å, c = 5.590 Å
α = 90.00°, β = 96.87°, γ = 90.00°
Fractional positions:
Mg  0.208  0.000  0.229
Mg  0.792  0.000  0.771
Cd  0.000  0.500  0.500
W  0.500  0.500  0.000

A relaxed In3IrCl crystal. Source: Alexandria, functional PBE.

space-group type = Pnma (62)
formation energy (no corrections) = -42.0 kJ/mol of atoms

a = 7.287 Å, b = 10.426 Å, c = 7.386 Å
α = 90.00°, β = 90.00°, γ = 90.00°
Fractional positions:
In  0.002  0.250  0.013
In  0.229  0.522  0.270
In  0.229  0.978  0.270
In  0.271  0.022  0.770
In  0.271  0.478  0.770
In  0.498  0.750  0.513
In  0.502  0.250  0.487
In  0.729  0.522  0.230
In  0.729  0.978  0.230
In  0.771  0.022  0.730
In  0.771  0.478  0.730
In  0.998  0.750  0.987
Ir  0.000  0.000  0.000
Ir  0.000  0.500  0.000
Ir  0.500  0.000  0.500
Ir  0.500  0.500  0.500
Cl  0.029  0.750  0.456
Cl  0.471  0.250  0.956
Cl  0.529  0.750  0.044
Cl  0.971  0.250  0.544

A relaxed PmNdTmRu crystal. Source: Alexandria, functional PBE.

space-group type = F-43m (216)

a = 7.424 Å, b = 7.424 Å, c = 7.424 Å
α = 90.00°, β = 90.00°, γ = 90.00°
Fractional positions:
Pm  0.000  0.000  0.000
Pm  0.000  0.500  0.500
Pm  0.500  0.000  0.500
Pm  0.500  0.500  0.000
Nd  0.000  0.000  0.500
Nd  0.000  0.500  0.000
Nd  0.500  0.000  0.000
Nd  0.500  0.500  0.500
Tm  0.250  0.250  0.750
Tm  0.250  0.750  0.250
Tm  0.750  0.250  0.250
Tm  0.750  0.750  0.750
Ru  0.250  0.250  0.250
Ru  0.250  0.750  0.750
Ru  0.750  0.250  0.750
Ru  0.750  0.750  0.250

A relaxed SrCaSn2 crystal. Source: Alexandria, functional PBE.

space-group type = P4/mmm (123)

a = 4.121 Å, b = 4.121 Å, c = 7.385 Å
α = 90.00°, β = 90.00°, γ = 90.00°
Fractional positions:
Sr  0.000  0.000  0.000
Ca  0.000  0.000  0.500
Sn  0.500  0.500  0.286
Sn  0.500  0.500  0.714

| no. | E_tot (eV per atom) |
| --- | --- |
| 1 | -7.274 |
| 2 | -4.376 |
| 3 | -4.872 |
| 4 | -5.481 |
| 5 | -7.138 |
| 6 | -4.510 |
| 7 | -4.921 |
| 8 | -4.266 |
| 9 | -5.276 |
| 10 | -8.449 |
| 11 | -6.227 |
| 12 | -3.780 |
| 13 | -4.066 |
| 14 | -5.106 |
| 15 | -5.869 |
| 16 | -3.842 |
| 17 | -3.835 |
| 18 | -4.220 |
| 19 | -5.647 |
| 20 | -3.502 |